1 | DFT (PBE-GGA) results for a relaxed structure of NaGeW3.

Cell: 4.539 4.539 4.539 Å, 90.00 90.00 90.00°
Fractional coordinates of all 5 atoms:
W 0.000 0.000 0.500
W 0.500 0.000 0.000
W 0.000 0.500 0.000
Ge 0.500 0.500 0.500
Na 0.000 0.000 0.000

Values from the calculation:
As for the crystal system: cubic. Its calculated volume is 18.70 A^3/atom.

=====

2 | DFT (PBE-GGA) results for a relaxed structure of NaGeW3.

Cell: 4.697 4.697 4.697 Å, 90.00 90.00 90.00°
Fractional coordinates of all 5 atoms:
W 0.500 0.000 0.000
W 0.000 0.500 0.000
W 0.000 0.000 0.500
Ge 0.000 0.000 0.000
Na 0.500 0.500 0.500

Values from the calculation:
As for the crystal system: cubic. Its calculated volume is 20.72 A^3/atom.

=====

The structure with the most favorable energy is 2; the runner-up is 1.179 eV/atom above it.

=====

1 | DFT (PBE-GGA) results for a relaxed structure of Na3Zn2Ge4.

Cell: 4.226 6.210 9.906 Å, 59.48 77.68 70.11°
Fractional coordinates of all 9 atoms:
Zn 0.394 0.932 0.280
Zn 0.606 0.068 0.720
Ge 0.055 0.283 0.608
Ge 0.714 0.627 0.946
Ge 0.286 0.373 0.054
Ge 0.945 0.717 0.392
Na 0.335 0.664 0.665
Na 0.665 0.336 0.335
Na 0.000 0.000 0.000

Values from the calculation:
As for the crystal system: monoclinic. Its calculated volume is 23.37 A^3/atom.

=====

2 | DFT (PBE-GGA) results for a relaxed structure of Na3Zn2Ge4.

Cell: 4.250 6.073 9.532 Å, 63.08 88.43 72.40°
Fractional coordinates of all 9 atoms:
Ge 0.986 0.509 0.628
Ge 0.014 0.491 0.372
Ge 0.312 0.353 0.044
Ge 0.688 0.647 0.956
Na 0.000 0.000 0.000
Na 0.319 0.910 0.375
Na 0.681 0.090 0.625
Zn 0.470 0.525 0.754
Zn 0.530 0.475 0.246

Values from the calculation:
As for the crystal system: triclinic. Its calculated volume is 23.04 A^3/atom.

=====

The structure with the most favorable energy is 1; the runner-up is 0.028 eV/atom above it.

=====

1 | DFT (PBE-GGA) results for a relaxed structure of NaZrGe2.

Cell: 6.340 3.089 8.380 Å, 90.00 90.00 90.00°
Fractional coordinates of all 8 atoms:
Ge 0.451 0.000 0.727
Ge 0.549 0.000 0.273
Ge 0.951 0.000 0.273
Ge 0.049 0.000 0.727
Zr 0.750 0.500 0.541
Zr 0.250 0.500 0.459
Na 0.750 0.500 0.974
Na 0.250 0.500 0.026

Values from the calculation:
As for the crystal system: orthorhombic. Its calculated volume is 20.51 A^3/atom.

=====

2 | DFT (PBE-GGA) results for a relaxed structure of NaZrGe2.

Cell: 5.470 3.762 8.668 Å, 90.00 105.22 90.00°
Fractional coordinates of all 8 atoms:
Zr 0.300 0.750 0.565
Zr 0.700 0.250 0.435
Ge 0.620 0.250 0.768
Ge 0.122 0.250 0.317
Ge 0.380 0.750 0.232
Ge 0.878 0.750 0.683
Na 0.212 0.250 0.936
Na 0.788 0.750 0.064

Values from the calculation:
As for the crystal system: monoclinic. Its calculated volume is 21.51 A^3/atom.

=====

3 | DFT (PBE-GGA) results for a relaxed structure of NaZrGe2.

Cell: 4.835 4.835 4.835 Å, 60.00 60.00 60.00°
Fractional coordinates of all 4 atoms:
Ge 0.750 0.750 0.750
Ge 0.250 0.250 0.250
Zr 0.500 0.500 0.500
Na 0.000 0.000 0.000

Values from the calculation:
As for the crystal system: cubic. Its calculated volume is 19.98 A^3/atom.

=====

The structure with the most favorable energy is 2; the runner-up is 0.039 eV/atom above it.

=====

1 | DFT (PBE-GGA) results for a relaxed structure of NaZrGe2.

Cell: 5.363 3.782 17.372 Å, 90.00 95.52 90.00°
Fractional coordinates of all 16 atoms:
Na 0.541 0.500 0.436
Na 0.541 0.000 0.936
Na 0.070 0.000 0.495
Na 0.070 0.500 0.995
Ge 0.207 0.000 0.331
Ge 0.889 0.000 0.805
Ge 0.889 0.500 0.305
Ge 0.627 0.000 0.579
Ge 0.627 0.500 0.079
Ge 0.207 0.500 0.831
Ge 0.332 0.500 0.611
Ge 0.332 0.000 0.111
Zr 0.892 0.000 0.181
Zr 0.409 0.000 0.731
Zr 0.409 0.500 0.231
Zr 0.892 0.500 0.681

Values from the calculation:
As for the crystal system: monoclinic. Its calculated volume is 21.92 A^3/atom.

=====

2 | DFT (PBE-GGA) results for a relaxed structure of NaZrGe2.

Cell: 3.031 5.188 10.325 Å, 90.04 91.17 90.25°
Fractional coordinates of all 8 atoms:
Ge 0.702 0.012 0.286
Ge 0.681 0.339 0.468
Ge 0.657 0.511 0.934
Ge 0.678 0.838 0.751
Zr 0.097 0.308 0.711
Zr 0.265 0.808 0.508
Na 0.176 0.009 0.013
Na 0.185 0.510 0.207

Values from the calculation:
As for the crystal system: triclinic. Its calculated volume is 20.29 A^3/atom.

=====

The structure with the most favorable energy is 1; the runner-up is 0.007 eV/atom above it.

=====

1 | DFT (PBE-GGA) results for a relaxed structure of NaZrGe2.

Cell: 16.939 6.322 3.093 Å, 90.00 90.00 90.00°
Fractional coordinates of all 16 atoms:
Zr 0.770 0.000 0.000
Zr 0.730 0.500 0.000
Zr 0.230 0.000 0.000
Zr 0.270 0.500 0.000
Ge 0.137 0.704 0.500
Ge 0.137 0.296 0.500
Ge 0.863 0.704 0.500
Ge 0.363 0.796 0.500
Ge 0.637 0.796 0.500
Ge 0.363 0.204 0.500
Ge 0.637 0.204 0.500
Ge 0.863 0.296 0.500
Na 0.000 0.500 0.000
Na 0.500 0.500 0.000
Na 0.000 0.000 0.000
Na 0.500 0.000 0.000

Values from the calculation:
As for the crystal system: orthorhombic. Its calculated volume is 20.70 A^3/atom.

=====

2 | DFT (PBE-GGA) results for a relaxed structure of NaZrGe2.

Cell: 7.453 7.453 6.100 Å, 52.35 52.35 90.00°
Fractional coordinates of all 8 atoms:
Na 0.500 0.500 0.000
Na 0.250 0.750 0.500
Zr 0.750 0.250 0.500
Zr 0.000 0.000 0.000
Ge 0.124 0.625 0.250
Ge 0.375 0.374 0.750
Ge 0.626 0.125 0.250
Ge 0.875 0.876 0.750

Values from the calculation:
As for the crystal system: tetragonal. Its calculated volume is 21.33 A^3/atom.

=====

3 | DFT (PBE-GGA) results for a relaxed structure of NaZrGe2.

Cell: 3.772 8.418 5.406 Å, 90.00 90.00 90.00°
Fractional coordinates of all 8 atoms:
Zr 0.000 0.442 0.881
Zr 0.500 0.558 0.381
Ge 0.000 0.308 0.343
Ge 0.000 0.763 0.142
Ge 0.500 0.692 0.843
Ge 0.500 0.237 0.642
Na 0.000 0.939 0.618
Na 0.500 0.061 0.118

Values from the calculation:
As for the crystal system: orthorhombic. Its calculated volume is 21.46 A^3/atom.

=====

4 | DFT (PBE-GGA) results for a relaxed structure of NaZrGe2.

Cell: 3.754 5.416 9.030 Å, 79.25 78.27 89.94°
Fractional coordinates of all 8 atoms:
Ge 0.160 0.105 0.205
Ge 0.946 0.673 0.643
Ge 0.700 0.831 0.125
Ge 0.482 0.393 0.571
Na 0.774 0.397 0.970
Na 0.339 0.944 0.841
Zr 0.101 0.539 0.327
Zr 0.544 0.963 0.441

Values from the calculation:
As for the crystal system: triclinic. Its calculated volume is 22.06 A^3/atom.

=====

The structure with the most favorable energy is 3; the runner-up is 0.016 eV/atom above it.

=====

1 | DFT (PBE-GGA) results for a relaxed structure of NaZrGe2.

Cell: 3.020 5.154 10.684 Å, 102.93 90.93 90.98°
Fractional coordinates of all 8 atoms:
Ge 0.481 0.194 0.824
Ge 0.492 0.786 0.641
Ge 0.508 0.214 0.359
Ge 0.519 0.806 0.176
Na 0.993 0.726 0.902
Na 0.007 0.274 0.098
Zr 0.076 0.712 0.399
Zr 0.924 0.288 0.601

Values from the calculation:
As for the crystal system: triclinic. Its calculated volume is 20.26 A^3/atom.

=====

2 | DFT (PBE-GGA) results for a relaxed structure of NaZrGe2.

Cell: 3.016 3.016 8.900 Å, 90.00 90.00 90.00°
Fractional coordinates of all 4 atoms:
Zr 0.000 0.000 0.500
Ge 0.500 0.500 0.734
Ge 0.500 0.500 0.266
Na 0.000 0.000 0.000

Values from the calculation:
As for the crystal system: tetragonal. Its calculated volume is 20.24 A^3/atom.

=====

The structure with the most favorable energy is 1; the runner-up is 0.023 eV/atom above it.

=====

1 | DFT (PBE-GGA) results for a relaxed structure of NaZr3Ge.

Cell: 5.153 5.153 5.153 Å, 90.00 90.00 90.00°
Fractional coordinates of all 5 atoms:
Na 0.500 0.500 0.500
Ge 0.000 0.000 0.000
Zr 0.500 0.000 0.000
Zr 0.000 0.500 0.000
Zr 0.000 0.000 0.500

Values from the calculation:
As for the crystal system: cubic. Its calculated volume is 27.36 A^3/atom.

=====

2 | DFT (PBE-GGA) results for a relaxed structure of NaZr3Ge.

Cell: 4.925 4.925 4.925 Å, 90.00 90.00 90.00°
Fractional coordinates of all 5 atoms:
Zr 0.000 0.500 0.000
Zr 0.000 0.000 0.500
Zr 0.500 0.000 0.000
Na 0.000 0.000 0.000
Ge 0.500 0.500 0.500

Values from the calculation:
As for the crystal system: cubic. Its calculated volume is 23.89 A^3/atom.

=====

The structure with the most favorable energy is 1; the runner-up is 0.888 eV/atom above it.

=====

1 | DFT (PBE-GGA) results for a relaxed structure of Nb3Ge.

Cell: 7.807 7.807 5.333 Å, 90.00 90.00 117.48°
Fractional coordinates of all 16 atoms:
Ge 0.418 0.997 0.000
Ge 0.367 0.367 0.500
Ge 0.997 0.418 0.000
Ge 0.634 0.634 0.000
Nb 0.651 0.335 0.751
Nb 0.212 0.212 0.000
Nb 0.651 0.335 0.249
Nb 0.790 0.028 0.000
Nb 0.997 0.607 0.500
Nb 0.247 0.991 0.500
Nb 0.335 0.651 0.249
Nb 0.028 0.790 0.000
Nb 0.335 0.651 0.751
Nb 0.607 0.997 0.500
Nb 0.991 0.247 0.500
Nb 0.740 0.740 0.500

Values from the calculation:
As for the crystal system: orthorhombic. Its calculated volume is 18.02 A^3/atom.

=====

2 | DFT (PBE-GGA) results for a relaxed structure of Nb3Ge.

Cell: 5.283 10.369 10.369 Å, 90.00 90.00 90.00°
Fractional coordinates of all 32 atoms:
Ge 0.782 0.205 0.027
Ge 0.218 0.027 0.795
Ge 0.282 0.527 0.295
Ge 0.718 0.295 0.473
Ge 0.282 0.473 0.705
Ge 0.782 0.795 0.973
Ge 0.718 0.705 0.527
Ge 0.218 0.973 0.205
Nb 0.986 0.810 0.713
Nb 0.986 0.190 0.287
Nb 0.278 0.851 0.984
Nb 0.465 0.916 0.596
Nb 0.722 0.016 0.851
Nb 0.035 0.416 0.096
Nb 0.778 0.516 0.351
Nb 0.535 0.404 0.916
Nb 0.465 0.084 0.404
Nb 0.535 0.596 0.084
Nb 0.514 0.310 0.213
Nb 0.486 0.213 0.690
Nb 0.222 0.649 0.516
Nb 0.014 0.713 0.190
Nb 0.514 0.690 0.787
Nb 0.965 0.904 0.416
Nb 0.278 0.149 0.016
Nb 0.722 0.984 0.149
Nb 0.014 0.287 0.810
Nb 0.778 0.484 0.649
Nb 0.965 0.096 0.584
Nb 0.486 0.787 0.310
Nb 0.222 0.351 0.484
Nb 0.035 0.584 0.904

Values from the calculation:
As for the crystal system: tetragonal. Its calculated volume is 17.75 A^3/atom.

=====

3 | DFT (PBE-GGA) results for a relaxed structure of Nb3Ge.

Cell: 5.183 5.183 5.183 Å, 90.00 90.00 90.00°
Fractional coordinates of all 8 atoms:
Nb 0.000 0.500 0.250
Nb 0.750 0.000 0.500
Nb 0.500 0.250 0.000
Nb 0.250 0.000 0.500
Nb 0.500 0.750 0.000
Nb 0.000 0.500 0.750
Ge 0.000 0.000 0.000
Ge 0.500 0.500 0.500

Values from the calculation:
As for the crystal system: cubic. Its calculated volume is 17.40 A^3/atom.

=====

The structure with the most favorable energy is 2; the runner-up is 0.050 eV/atom above it.

=====

1 | DFT (PBE-GGA) results for a relaxed structure of NbNi3Ge.

Cell: 4.259 4.259 4.259 Å, 90.00 90.00 90.00°
Fractional coordinates of all 5 atoms:
Ge 0.000 0.000 0.000
Ni 0.000 0.000 0.500
Ni 0.500 0.000 0.000
Ni 0.000 0.500 0.000
Nb 0.500 0.500 0.500

Values from the calculation:
As for the crystal system: cubic. Its calculated volume is 15.45 A^3/atom.

=====

2 | DFT (PBE-GGA) results for a relaxed structure of NbNi3Ge.

Cell: 4.565 4.565 4.565 Å, 90.00 90.00 90.00°
Fractional coordinates of all 5 atoms:
Ni 0.000 0.000 0.500
Ni 0.000 0.500 0.000
Ni 0.500 0.000 0.000
Ge 0.500 0.500 0.500
Nb 0.000 0.000 0.000

Values from the calculation:
As for the crystal system: cubic. Its calculated volume is 19.03 A^3/atom.

=====

The structure with the most favorable energy is 1; the runner-up is 0.645 eV/atom above it.

=====

1 | DFT (PBE-GGA) results for a relaxed structure of NbGeP2O.

Cell: 4.778 4.778 3.538 Å, 90.00 90.00 90.00°
Fractional coordinates of all 5 atoms:
O 0.000 0.000 0.500
P 0.000 0.500 0.000
P 0.500 0.000 0.000
Nb 0.500 0.500 0.500
Ge 0.000 0.000 0.000

Values from the calculation:
As for the crystal system: tetragonal. Its calculated volume is 16.15 A^3/atom.

=====

2 | DFT (PBE-GGA) results for a relaxed structure of NbGeP2O.

Cell: 4.966 4.966 3.873 Å, 90.00 90.00 90.00°
Fractional coordinates of all 5 atoms:
P 0.000 0.500 0.000
P 0.500 0.000 0.000
O 0.000 0.000 0.500
Nb 0.000 0.000 0.000
Ge 0.500 0.500 0.500

Values from the calculation:
As for the crystal system: tetragonal. Its calculated volume is 19.11 A^3/atom.

=====

The structure with the most favorable energy is 2; the runner-up is 0.610 eV/atom above it.